Record 1
Material: K2PuCl5
Method: DFT, GGA-PBE
State: optimized geometry

Lattice parameters (Å, degrees): 13.082 8.745 8.103 90.00 90.00 90.00
Fractional coordinates of all 32 atoms:
K: 0.171 0.003 0.046
K: 0.171 0.497 0.046
K: 0.329 0.503 0.546
K: 0.329 0.997 0.546
K: 0.671 0.003 0.454
K: 0.671 0.497 0.454
K: 0.829 0.503 0.954
K: 0.829 0.997 0.954
Pu: 0.002 0.250 0.565
Pu: 0.498 0.750 0.065
Pu: 0.502 0.250 0.935
Pu: 0.998 0.750 0.435
Cl: 0.009 0.250 0.914
Cl: 0.081 0.539 0.659
Cl: 0.081 0.961 0.659
Cl: 0.176 0.250 0.372
Cl: 0.200 0.750 0.337
Cl: 0.300 0.250 0.837
Cl: 0.324 0.750 0.872
Cl: 0.419 0.039 0.159
Cl: 0.419 0.461 0.159
Cl: 0.491 0.750 0.414
Cl: 0.509 0.250 0.586
Cl: 0.581 0.539 0.841
Cl: 0.581 0.961 0.841
Cl: 0.676 0.250 0.128
Cl: 0.700 0.750 0.163
Cl: 0.800 0.250 0.663
Cl: 0.824 0.750 0.628
Cl: 0.919 0.039 0.341
Cl: 0.919 0.461 0.341
Cl: 0.991 0.750 0.086

Properties
As for the energy relative to the elements, uncorrected: -1977.1 meV/atom. For the total magnetization, the calculation gives 5.0 μB per formula unit. The calculation puts the calculated volume at 927.0 Å³ per cell.

Record 2
Material: LaBi3Rh
Method: DFT, GGA-PBE
State: optimized geometry

Lattice parameters (Å, degrees): 6.048 6.048 6.048 90.00 90.00 90.00
Fractional coordinates of all 5 atoms:
La: 0.000 0.000 0.000
Bi: 0.000 0.000 0.500
Bi: 0.000 0.500 0.000
Bi: 0.500 0.000 0.000
Rh: 0.500 0.500 0.500

Properties
For the total magnetization, the calculation gives 0.0 μB per formula unit. The value obtained for the energy relative to the elements is 1.215 eV per atom. The calculation puts the calculated volume at 221.2 Å³ per cell.

Record 3
Material: Cs4Ce3ZnSe8
Method: DFT, GGA-PBE
State: optimized geometry

Lattice parameters (Å, degrees): 8.548 8.548 8.517 92.24 92.24 63.00
Fractional coordinates of all 16 atoms:
Cs: 0.000 0.000 0.000
Cs: 0.000 0.500 0.000
Cs: 0.500 0.000 0.000
Cs: 0.500 0.500 0.000
Ce: 0.000 0.000 0.500
Ce: 0.000 0.500 0.500
Ce: 0.500 0.000 0.500
Zn: 0.500 0.500 0.500
Se: 0.156 0.681 0.691
Se: 0.175 0.175 0.689
Se: 0.319 0.844 0.309
Se: 0.351 0.351 0.336
Se: 0.649 0.649 0.664
Se: 0.681 0.156 0.691
Se: 0.825 0.825 0.311
Se: 0.844 0.319 0.309

Properties
As for the energy relative to the elements, uncorrected: -1397.3 meV/atom. For the total magnetization, the calculation gives 2.0 μB per formula unit. The calculation puts the calculated volume at 554.0 Å³ per cell.

Record 4
Material: Er2ThRu
Method: DFT, GGA-PBE
State: optimized geometry

Lattice parameters (Å, degrees): 3.424 3.424 8.765 90.00 90.00 90.00
Fractional coordinates of all 4 atoms:
Er: 0.000 0.000 0.185
Er: 0.000 0.000 0.815
Th: 0.500 0.500 0.500
Ru: 0.500 0.500 0.000

Properties
For the total magnetization, the calculation gives 0.0 μB per formula unit. The value obtained for the energy relative to the elements is -0.219 eV per atom. The calculation puts the calculated volume at 102.8 Å³ per cell.